Hf2Ti4In: relaxed, GGA-PBE.

Unit cell a=11.3587 b=5.5082 c=5.5742 alpha=119.61 beta=66.76 gamma=90.00
Sites, in units of the cell vectors:
1 Ti 0.2704 0.3396 0.9419
2 Ti 0.7500 0.0715 0.5000
3 Ti 0.7704 0.1023 0.9419
4 Ti 0.2500 0.9285 0.5000
5 Ti 0.7500 0.5594 0.5000
6 Ti 0.2500 0.4406 0.5000
7 Ti 0.7296 0.6604 0.0581
8 Ti 0.2296 0.8977 0.0581
9 In 0.0000 0.0000 0.0000
10 In 0.5000 0.5000 0.0000
11 Hf 0.0055 0.6801 0.3362
12 Hf 0.9945 0.3199 0.6638
13 Hf 0.5055 0.1561 0.3362
14 Hf 0.4945 0.8439 0.6638

Computed properties:
**ΔE_f**: 46 meV/atom
**Distance to the lowest polymorph of the same formula**: 0.0000 eV/atom